8
Lattice="3.842 0.000 0.000 0.000 2.935 0.000 -1.878 0.000 5.839" Properties=species:S:1:pos:R:3 comment="Be2BN | Alexandria | PBE-GGA | relaxed" dft_energy_ha_per_atom=-0.2227 raw_formation_energy_mev_per_atom=-446 relative_energy_mev_per_atom=205 pbc="T T T"
Be -1.141 0.000 5.091
Be 0.775 1.467 5.568
Be 0.964 0.000 1.609
Be 1.892 1.467 3.033
B -0.120 1.467 2.069
B 2.943 0.000 1.654
N 2.131 1.467 4.631
N 2.053 0.000 0.340

3
Lattice="-0.386 2.036 3.115 -2.059 -3.086 -0.485 6.677 -5.109 4.168" Properties=species:S:1:pos:R:3 comment="NaAcEr | Alexandria | PBE-GGA | relaxed" dft_energy_ha_per_atom=-0.1162 formation_energy_ev_per_atom=0.169 relative_energy_mev_per_atom=98 pbc="T T T"
Na 6.610 -5.058 4.126
Ac 1.391 -1.457 3.372
Er 2.908 -4.752 3.467

12
Lattice="-0.886 3.664 4.377 -0.491 -4.683 3.821 5.465 2.452 -0.947" Properties=species:S:1:pos:R:3 comment="Cu2BS3 | Alexandria | PBE-GGA | relaxed" dft_energy_ha_per_atom=-0.1781 raw_formation_energy_mev_per_atom=-305 pbc="T T T"
Cu 1.833 -0.529 5.107
Cu 0.708 -1.658 2.012
Cu 3.711 1.721 3.604
Cu 2.586 0.592 0.509
B 4.193 -1.753 2.614
B 0.269 1.640 2.791
S 1.722 0.856 6.872
S 0.222 -0.105 3.561
S 3.513 3.001 5.438
S 2.013 2.040 2.127
S 3.958 -0.490 4.211
S -0.124 2.975 4.297